Record 1
Density functional theory data (PBE) for crystalline Rb2Cd4BiAu3 at its relaxed geometry.

Results
DFT formation energy (eV/f.u.): -1.993
ρ (g cm⁻³): 8.15

abc: 4.8807 4.8807 12.1539
angles: 90.00 90.00 90.00
Last column: nearest neighbours and their distance in Å.
Positions (direct):
1 Rb 0.0000 0.5000 0.2437  8 Cd 3.71-3.84, 6 Au 3.73-3.96, 2 Bi 3.96
2 Rb 0.5000 0.0000 0.7563  8 Cd 3.71-3.84, 6 Au 3.73-3.96, 2 Bi 3.96
3 Cd 0.0000 0.0000 0.0000  4 Au 2.89
4 Cd 0.0000 0.5000 0.6441  3 Au 2.77-3.00, 2 Bi 3.00
5 Cd 0.5000 0.0000 0.3559  3 Au 2.77-3.00, 2 Bi 3.00
6 Cd 0.5000 0.5000 0.0000  4 Au 2.89
7 Bi 0.0000 0.0000 0.5000  4 Cd 3.00
8 Au 0.0000 0.5000 0.8722  5 Cd 2.77-2.89
9 Au 0.5000 0.0000 0.1278  5 Cd 2.77-2.89
10 Au 0.5000 0.5000 0.5000  4 Cd 3.00

Record 2
Density functional theory data (PBE) for crystalline CsCdInTe3 at its relaxed geometry.

Results
E_tot (eV per cell): -34.267
ρ (g cm⁻³): 4.99

abc: 10.0412 4.4643 11.7653
angles: 90.00 110.25 90.00
Last column: nearest neighbours and their distance in Å.
Positions (direct):
1 Cs 0.2311 0.2500 0.2309  7 Te 3.79-4.24
2 Cs 0.7689 0.7500 0.7691  7 Te 3.79-4.24
3 Cd 0.3569 0.7500 0.9155  5 Te 2.90-3.21
4 Cd 0.6431 0.2500 0.0845  5 Te 2.90-3.21
5 In 0.1090 0.2500 0.6389  4 Te 2.74-2.99
6 In 0.8910 0.7500 0.3611  4 Te 2.74-2.99
7 Te 0.1154 0.2500 0.8733  1 In 2.74
8 Te 0.1949 0.7500 0.5250  3 In 2.88-2.99
9 Te 0.4930 0.2500 0.8251  3 Cd 2.90-3.00
10 Te 0.5070 0.7500 0.1749  3 Cd 2.90-3.00
11 Te 0.8051 0.2500 0.4750  3 In 2.88-2.99
12 Te 0.8846 0.7500 0.1267  1 In 2.74

Record 3
Density functional theory data (PBE) for crystalline BeIr2Rh at its relaxed geometry.

Results
DFT formation energy (eV/f.u.): -0.370
ρ (g cm⁻³): 15.48

abc: 2.7291 3.6927 5.2833
angles: 90.00 90.00 90.00
Last column: nearest neighbours and their distance in Å.
Positions (direct):
1 Be 0.0000 0.0000 0.0000  4 Rh 2.60, 6 Ir 2.64-2.65, 2 Be 2.73
2 Ir 0.0000 0.0000 0.4989  2 Be 2.64-2.65, 6 Ir 2.65-2.73, 4 Rh 2.70
3 Ir 0.5000 0.5000 0.2486  2 Rh 2.54-2.75, 4 Be 2.65, 6 Ir 2.65-2.73
4 Rh 0.5000 0.5000 0.7684  6 Ir 2.54-2.75, 4 Be 2.60, 2 Rh 2.73

Record 4
Density functional theory data (PBE) for crystalline Y2Si3Ni12Au at its relaxed geometry.

Results
E_tot (eV per cell): -103.427
ρ (g cm⁻³): 7.73

abc: 6.3168 6.3168 6.3168
angles: 85.71 85.71 85.71
Last column: nearest neighbours and their distance in Å.
Positions (direct):
1 Y 0.1646 0.1646 0.1646  6 Ni 2.50-2.77
2 Y 0.8354 0.8354 0.8354  6 Ni 2.50-2.77
3 Si 0.0000 0.5000 0.5000  2 Ni 2.24
4 Si 0.5000 0.0000 0.5000  2 Ni 2.24
5 Si 0.5000 0.5000 0.0000  2 Ni 2.24
6 Ni 0.1116 0.1116 0.6049  2 Ni 2.35-2.57, 2 Si 2.55
7 Ni 0.1116 0.6049 0.1116  2 Ni 2.35-2.57, 2 Si 2.55
8 Ni 0.1916 0.6902 0.6902  1 Si 2.24, 1 Ni 2.35, 1 Au 2.49, 1 Y 2.50
9 Ni 0.3098 0.3098 0.8084  1 Si 2.24, 1 Ni 2.35, 1 Au 2.49, 1 Y 2.50
10 Ni 0.3098 0.8084 0.3098  1 Si 2.24, 1 Ni 2.35, 1 Au 2.49, 1 Y 2.50
11 Ni 0.3951 0.8884 0.8884  2 Ni 2.35-2.57, 2 Si 2.55
12 Ni 0.6049 0.1116 0.1116  2 Ni 2.35-2.57, 2 Si 2.55
13 Ni 0.6902 0.1916 0.6902  1 Si 2.24, 1 Ni 2.35, 1 Au 2.49, 1 Y 2.50
14 Ni 0.6902 0.6902 0.1916  1 Si 2.24, 1 Ni 2.35, 1 Au 2.49, 1 Y 2.50
15 Ni 0.8084 0.3098 0.3098  1 Si 2.24, 1 Ni 2.35, 1 Au 2.49, 1 Y 2.50
16 Ni 0.8884 0.3951 0.8884  2 Ni 2.35-2.57, 2 Si 2.55
17 Ni 0.8884 0.8884 0.3951  2 Ni 2.35-2.57, 2 Si 2.55
18 Au 0.5000 0.5000 0.5000  6 Ni 2.49

Record 5
Density functional theory data (PBE) for crystalline Li3PmRh2 at its relaxed geometry.

Results
DFT formation energy (eV/f.u.): -1.780
ρ (g cm⁻³): 6.00

abc: 6.9968 6.9968 8.2051
angles: 115.72 115.72 35.10
Last column: nearest neighbours and their distance in Å.
Positions (direct):
1 Li 0.0582 0.0582 0.3822  3 Rh 2.68-2.72, 6 Li 2.69-2.98
2 Li 0.2802 0.2802 0.4561  4 Li 2.48-2.74, 3 Rh 2.67-2.74
3 Li 0.4208 0.4208 0.3211  4 Li 2.58-2.73, 3 Rh 2.65-2.68
4 Li 0.5792 0.5792 0.6789  4 Li 2.58-2.73, 3 Rh 2.65-2.68
5 Li 0.7198 0.7198 0.5439  4 Li 2.48-2.74, 3 Rh 2.67-2.74
6 Li 0.9418 0.9418 0.6178  3 Rh 2.68-2.72, 6 Li 2.69-2.98
7 Pm 0.1423 0.1423 0.0217  5 Rh 2.88-2.95, 2 Li 3.17-3.18
8 Pm 0.8577 0.8577 0.9783  5 Rh 2.88-2.95, 2 Li 3.17-3.18
9 Rh 0.2108 0.2108 0.7353  6 Li 2.65-2.83, 1 Rh 2.71, 3 Pm 2.88-2.95
10 Rh 0.4325 0.4325 0.8192  2 Rh 2.68-2.71, 4 Li 2.68-2.74, 2 Pm 2.89
11 Rh 0.5675 0.5675 0.1808  2 Rh 2.68-2.71, 4 Li 2.68-2.74, 2 Pm 2.89
12 Rh 0.7892 0.7892 0.2647  6 Li 2.65-2.83, 1 Rh 2.71, 3 Pm 2.88-2.95

Record 6
Density functional theory data (PBE) for crystalline LiTiIN2 at its relaxed geometry.

Results
E above lowest polymorph (eV/atom): 0.000
ρ (g cm⁻³): 3.76

abc: 3.9109 3.9109 6.0601
angles: 90.00 90.00 90.00
Last column: nearest neighbours and their distance in Å.
Positions (direct):
1 Li 0.0000 0.0000 0.0000  4 I 2.77
2 Ti 0.5000 0.5000 0.5000  4 N 1.96
3 I 0.5000 0.5000 0.0000  4 Li 2.77, 2 Ti 3.03
4 N 0.0000 0.5000 0.5000  2 Ti 1.96
5 N 0.5000 0.0000 0.5000  2 Ti 1.96